No. 1
# PBE Dy3NpP4, relaxed
# D(E_F), states/eV/f.u.: 11.264
# M_tot, μB per cell: 6.96
# Electronic total energy, eV/atom: -7.47
data_Dy3NpP4
_chemical_formula_sum 'Dy6 Np2 P8'
_cell_length_a 6.909
_cell_length_b 7.975
_cell_length_c 6.905
_cell_angle_alpha 90.00
_cell_angle_beta 109.51
_cell_angle_gamma 90.00
_space_group_name_H-M_alt 'P 1 2/c 1'
_space_group_IT_number 13
_space_group_name_Hall '-P 2yc'
loop_
_atom_site_label
_atom_site_fract_x
_atom_site_fract_y
_atom_site_fract_z
Dy1 0.000 0.124 0.250
Dy2 0.000 0.373 0.750
Dy3 0.500 0.124 0.750
Np1 0.500 0.374 0.250
P1 0.252 0.128 0.004
P2 0.256 0.378 0.499

No. 2
# PBE DyNp2PaP4, relaxed
# D(E_F), states/eV/f.u.: 19.569
# M_tot, μB per cell: 8.34
# Electronic total energy, eV/atom: -8.87
data_DyNp2PaP4
_chemical_formula_sum 'Dy1 Np2 Pa1 P4'
_cell_length_a 6.870
_cell_length_b 3.983
_cell_length_c 6.896
_cell_angle_alpha 90.00
_cell_angle_beta 109.60
_cell_angle_gamma 90.00
_space_group_name_H-M_alt 'P 1 2/m 1'
_space_group_IT_number 10
_space_group_name_Hall '-P 2y'
loop_
_atom_site_label
_atom_site_fract_x
_atom_site_fract_y
_atom_site_fract_z
Dy1 0.000 0.000 0.000
Np1 0.500 0.000 0.500
Np2 0.500 0.500 0.000
Pa1 0.000 0.500 0.500
P1 0.251 0.000 0.749
P2 0.253 0.500 0.253

No. 3
# PBE DyNpPa2P4, relaxed
# D(E_F), states/eV/f.u.: 12.899
# M_tot, μB per cell: 4.30
# Electronic total energy, eV/atom: -8.55
data_DyNpPa2P4
_chemical_formula_sum 'Dy1 Np1 Pa2 P4'
_cell_length_a 6.862
_cell_length_b 3.979
_cell_length_c 6.893
_cell_angle_alpha 90.00
_cell_angle_beta 109.54
_cell_angle_gamma 90.00
_space_group_name_H-M_alt 'P 1 2/m 1'
_space_group_IT_number 10
_space_group_name_Hall '-P 2y'
loop_
_atom_site_label
_atom_site_fract_x
_atom_site_fract_y
_atom_site_fract_z
Dy1 0.000 0.000 0.000
Np1 0.000 0.500 0.500
Pa1 0.500 0.000 0.500
Pa2 0.500 0.500 0.000
P1 0.250 0.000 0.749
P2 0.252 0.500 0.252

No. 4
# PBE PmDyNp2P4, relaxed
# D(E_F), states/eV/f.u.: 17.737
# M_tot, μB per cell: 7.30
# Electronic total energy, eV/atom: -8.33
data_PmDyNp2P4
_chemical_formula_sum 'Pm1 Dy1 Np2 P4'
_cell_length_a 6.939
_cell_length_b 4.005
_cell_length_c 6.952
_cell_angle_alpha 90.00
_cell_angle_beta 109.42
_cell_angle_gamma 90.00
_space_group_name_H-M_alt 'P 1 2/m 1'
_space_group_IT_number 10
_space_group_name_Hall '-P 2y'
loop_
_atom_site_label
_atom_site_fract_x
_atom_site_fract_y
_atom_site_fract_z
Pm1 0.000 0.000 0.000
Dy1 0.500 0.500 0.000
Np1 0.000 0.500 0.500
Np2 0.500 0.000 0.500
P1 0.251 0.000 0.740
P2 0.258 0.500 0.263

No. 5
# PBE Pm2DyNpP4, relaxed
# D(E_F), states/eV/f.u.: 10.797
# M_tot, μB per cell: 3.59
# Electronic total energy, eV/atom: -7.48
data_Pm2DyNpP4
_chemical_formula_sum 'Pm2 Dy1 Np1 P4'
_cell_length_a 7.009
_cell_length_b 4.046
_cell_length_c 7.024
_cell_angle_alpha 90.00
_cell_angle_beta 109.30
_cell_angle_gamma 90.00
_space_group_name_H-M_alt 'P 1 2/m 1'
_space_group_IT_number 10
_space_group_name_Hall '-P 2y'
loop_
_atom_site_label
_atom_site_fract_x
_atom_site_fract_y
_atom_site_fract_z
Pm1 0.000 0.000 0.000
Pm2 0.500 0.500 0.000
Dy1 0.000 0.500 0.500
Np1 0.500 0.000 0.500
P1 0.251 0.000 0.739
P2 0.258 0.500 0.263

No. 6
# PBE DyPu2NpP4, relaxed
# D(E_F), states/eV/f.u.: 27.219
# M_tot, μB per cell: 6.45
# Electronic total energy, eV/atom: -9.65
data_DyPu2NpP4
_chemical_formula_sum 'Dy1 Pu2 Np1 P4'
_cell_length_a 6.865
_cell_length_b 3.987
_cell_length_c 6.920
_cell_angle_alpha 90.00
_cell_angle_beta 109.48
_cell_angle_gamma 90.00
_space_group_name_H-M_alt 'P 1 2/m 1'
_space_group_IT_number 10
_space_group_name_Hall '-P 2y'
loop_
_atom_site_label
_atom_site_fract_x
_atom_site_fract_y
_atom_site_fract_z
Dy1 0.000 0.000 0.000
Pu1 0.500 0.000 0.500
Pu2 0.500 0.500 0.000
Np1 0.000 0.500 0.500
P1 0.250 0.000 0.748
P2 0.252 0.500 0.254

What did the fourth record say?
# PBE PmDyNp2P4, relaxed
# D(E_F), states/eV/f.u.: 17.737
# M_tot, μB per cell: 7.30
# Electronic total energy, eV/atom: -8.33
data_PmDyNp2P4
_chemical_formula_sum 'Pm1 Dy1 Np2 P4'
_cell_length_a 6.939
_cell_length_b 4.005
_cell_length_c 6.952
_cell_angle_alpha 90.00
_cell_angle_beta 109.42
_cell_angle_gamma 90.00
_space_group_name_H-M_alt 'P 1 2/m 1'
_space_group_IT_number 10
_space_group_name_Hall '-P 2y'
loop_
_atom_site_label
_atom_site_fract_x
_atom_site_fract_y
_atom_site_fract_z
Pm1 0.000 0.000 0.000
Dy1 0.500 0.500 0.000
Np1 0.000 0.500 0.500
Np2 0.500 0.000 0.500
P1 0.251 0.000 0.740
P2 0.258 0.500 0.263